The following is a DFT calculation (GGA-PBE) of a geometry-optimized LaHSe3 structure.

Cell: 4.5995 4.5995 4.5995 Å, 90.00 90.00 90.00°
Fractional positions:
H: 0.0000 0.0000 0.0000
Se: 0.0000 0.5000 0.0000
Se: 0.0000 0.0000 0.5000
Se: 0.5000 0.0000 0.0000
La: 0.5000 0.5000 0.5000

* total energy: -4.211 eV per atom
* calculated volume: 19.46 Å³/atom